# 1
Here is crystalline LaMg3Cd at its relaxed geometry from Alexandria. Energies are from GGA-PBE.

POSCAR file:
```
LaMg3Cd
1.0
-0.208 2.875 -4.367
-1.784 -4.147 -2.645
-4.915 1.384 1.145
Mg Cd La
3 1 1
direct
0.000 0.500 0.000
0.500 0.000 0.000
0.000 0.000 0.500
0.000 0.000 0.000
0.500 0.500 0.500
```

As for the density of states at the Fermi level: 3.1 states/eV/cell. For the uncorrected energy, the calculation gives -2.009 eV/atom. As for the distance to the lowest polymorph of the same formula: 247 meV/atom. The energy of formation from the pure elements is 0.12 eV/atom.

---

# 2
Here is crystalline Cr2HgBr at its relaxed geometry from Alexandria. Energies are from GGA-PBE.

POSCAR file:
```
Cr2HgBr
1.0
-2.821 -2.386 3.582
2.941 -4.078 1.100
1.441 4.940 -0.021
Br Cr Hg
1 2 1
direct
0.750 0.250 0.500
0.000 0.000 0.000
0.500 0.500 0.000
0.250 0.750 0.500
```

As for the density of states at the Fermi level: 0.7 states/eV/cell. For the uncorrected energy, the calculation gives -4.656 eV/atom. As for the distance to the lowest polymorph of the same formula: 387 meV/atom. For the raw formation energy, the calculation gives 0.650 eV/atom.

---

# 3
Here is crystalline CeDyTe2 at its relaxed geometry from Alexandria. Energies are from GGA-PBE.

POSCAR file:
```
CeDyTe2
1.0
3.827 0.000 0.000
0.000 5.396 0.000
0.000 0.000 5.396
Dy Te Ce
1 2 1
direct
0.500 0.000 0.000
0.000 0.000 0.500
0.000 0.500 0.000
0.500 0.500 0.500
```

As for the density of states at the Fermi level: 6.4 states/eV/cell. For the uncorrected energy, the calculation gives -5.409 eV/atom. As for the distance to the lowest polymorph of the same formula: 133 meV/atom. For the raw formation energy, the calculation gives -1.204 eV/atom.